Material: Pu2TlCl11
Method: DFT, PBE
State: optimized geometry

Geometry as extended XYZ:
```
28
Lattice="-6.119 6.165 6.877 6.119 -6.165 6.877 6.119 6.165 -6.877" Properties=species:S:1:pos:R:3 pbc="T T T"
Pu 1.879 1.937 0.000
Pu 7.998 4.228 0.000
Pu -1.879 1.937 6.877
Pu 4.240 4.228 6.877
Tl 6.119 0.000 3.439
Tl 0.000 6.165 3.439
Cl 0.000 0.000 0.000
Cl 9.069 -0.718 1.779
Cl 6.736 2.978 -1.774
Cl 6.736 -2.978 5.103
Cl 3.169 0.718 1.779
Cl 9.701 2.456 0.000
Cl 3.582 3.709 0.000
Cl 3.169 -0.718 5.098
Cl 6.736 2.978 1.774
Cl 0.617 3.187 1.774
Cl 2.950 6.883 -1.779
Cl 0.000 0.000 6.877
Cl 3.169 -0.718 8.656
Cl 5.502 2.978 5.103
Cl -0.617 3.187 5.103
Cl 2.950 6.883 1.779
Cl 2.537 2.456 6.877
Cl -3.582 3.709 6.877
Cl 2.950 5.447 5.098
Cl -0.617 9.142 1.774
Cl -0.617 3.187 8.652
Cl -2.950 6.883 5.098
```

Computed properties:
The calculation puts the uncorrected formation energy at -1.319 eV per atom. As for the space-group type: Ibam. The calculated density comes out at 3.46 Mg/m³.